# Pr2ErTh3Bi6 (GGA-PBE, relaxed)
data_Pr2ErTh3Bi6
_chemical_formula_sum 'Pr4 Er2 Th6 Bi12'
_symmetry_space_group_name_H-M 'C 1 2/m 1'
_symmetry_Int_Tables_number 12
_cell_length_a 20.0054
_cell_length_b 4.5902
_cell_length_c 9.1608
_cell_angle_alpha 90.00
_cell_angle_beta 103.16
_cell_angle_gamma 90.00
loop_
_symmetry_equiv_pos_as_xyz
'x,y,z'
'-x,-y,-z'
'-x,y,-z'
'x,-y,z'
'x+1/2,y+1/2,z'
'-x+1/2,-y+1/2,-z'
'-x+1/2,y+1/2,-z'
'x+1/2,-y+1/2,z'
loop_
_atom_site_label
_atom_site_fract_x
_atom_site_fract_y
_atom_site_fract_z
Pr1 0.1665 0.0000 0.3333
Er1 0.0000 0.5000 0.0000
Th1 0.0000 0.5000 0.5000
Th2 0.1694 0.0000 0.8340
Bi1 0.0018 0.0000 0.7582
Bi2 0.1626 0.5000 0.0793
Bi3 0.1659 0.5000 0.5842
# calculated volume = 409.6 Å³/f.u.
# Fermi-level density of states = 0.552 states/eV/atom
# uncorrected energy = -5.711 eV/atom

# Sr2ErCd3Hg12 (GGA-PBE, relaxed)
data_Sr2ErCd3Hg12
_chemical_formula_sum 'Sr6 Er3 Cd9 Hg36'
_symmetry_space_group_name_H-M 'R -3 m'
_symmetry_Int_Tables_number 166
_symmetry_space_group_name_Hall '-R 3 2"'
_cell_length_a 7.0275
_cell_length_b 7.0275
_cell_length_c 37.2580
_cell_angle_alpha 90.00
_cell_angle_beta 90.00
_cell_angle_gamma 120.00
loop_
_atom_site_label
_atom_site_fract_x
_atom_site_fract_y
_atom_site_fract_z
Sr1 0.0000 0.0000 0.1359
Er1 0.0000 0.0000 0.5000
Cd1 0.0000 0.5000 0.0000
Hg1 0.0229 0.5115 0.8868
Hg2 0.0401 0.5200 0.6125
# calculated volume = 531.2 Å³/f.u.
# Fermi-level density of states = 0.626 states/eV/atom
# uncorrected energy = -0.950 eV/atom

# ZrCoPt6 (GGA-PBE, relaxed)
data_ZrCoPt6
_chemical_formula_sum 'Zr2 Co2 Pt12'
_symmetry_space_group_name_H-M 'C 1 2/m 1'
_symmetry_Int_Tables_number 12
_cell_length_a 8.9507
_cell_length_b 3.9678
_cell_length_c 7.9242
_cell_angle_alpha 90.00
_cell_angle_beta 116.19
_cell_angle_gamma 90.00
loop_
_symmetry_equiv_pos_as_xyz
'x,y,z'
'-x,-y,-z'
'-x,y,-z'
'x,-y,z'
'x+1/2,y+1/2,z'
'-x+1/2,-y+1/2,-z'
'-x+1/2,y+1/2,-z'
'x+1/2,-y+1/2,z'
loop_
_atom_site_label
_atom_site_fract_x
_atom_site_fract_y
_atom_site_fract_z
Zr1 0.0000 0.0000 0.0000
Co1 0.0000 0.0000 0.5000
Pt1 0.0015 0.5000 0.7450
Pt2 0.2466 0.0000 0.8662
Pt3 0.2487 0.5000 0.6194
# calculated volume = 126.3 Å³/f.u.
# Fermi-level density of states = 1.254 states/eV/atom
# uncorrected energy = -6.967 eV/atom

# Dy6Ir5 (GGA-PBE, relaxed)
data_Dy6Ir5
_chemical_formula_sum 'Dy12 Ir10'
_symmetry_space_group_name_H-M 'I m m m'
_symmetry_Int_Tables_number 71
_symmetry_space_group_name_Hall '-I 2 2'
_cell_length_a 4.8636
_cell_length_b 6.7160
_cell_length_c 14.6243
_cell_angle_alpha 90.00
_cell_angle_beta 90.00
_cell_angle_gamma 90.00
loop_
_atom_site_label
_atom_site_fract_x
_atom_site_fract_y
_atom_site_fract_z
Dy1 0.0000 0.2485 0.0000
Dy2 0.0000 0.2518 0.3343
Ir1 0.0000 0.0000 0.1682
Ir2 0.0000 0.0000 0.5000
Ir3 0.0000 0.5000 0.1660
# calculated volume = 238.8 Å³/f.u.
# Fermi-level density of states = 0.430 states/eV/atom
# uncorrected energy = -7.339 eV/atom

# BaZn3Si3 (GGA-PBE, relaxed)
data_BaZn3Si3
_chemical_formula_sum 'Ba2 Zn6 Si6'
_symmetry_space_group_name_H-M 'P m -3 n'
_symmetry_Int_Tables_number 223
_symmetry_space_group_name_Hall '-P 4n 2 3'
_cell_length_a 6.8473
_cell_length_b 6.8473
_cell_length_c 6.8473
_cell_angle_alpha 90.00
_cell_angle_beta 90.00
_cell_angle_gamma 90.00
loop_
_atom_site_label
_atom_site_fract_x
_atom_site_fract_y
_atom_site_fract_z
Ba1 0.0000 0.0000 0.0000
Zn1 0.0000 0.2500 0.5000
Si1 0.0000 0.5000 0.2500
# calculated volume = 160.5 Å³/f.u.
# Fermi-level density of states = 0.753 states/eV/atom
# formation energy without anion corrections = 0.02 eV/atom
# uncorrected energy = -3.121 eV/atom

# GdMgCdPb (GGA-PBE, relaxed)
data_GdMgCdPb
_chemical_formula_sum 'Gd4 Mg4 Cd4 Pb4'
_symmetry_space_group_name_H-M 'F -4 3 m'
_symmetry_Int_Tables_number 216
_symmetry_space_group_name_Hall 'F -4 2 3'
_cell_length_a 7.4537
_cell_length_b 7.4537
_cell_length_c 7.4537
_cell_angle_alpha 90.00
_cell_angle_beta 90.00
_cell_angle_gamma 90.00
loop_
_atom_site_label
_atom_site_fract_x
_atom_site_fract_y
_atom_site_fract_z
Gd1 0.0000 0.0000 0.0000
Mg1 0.0000 0.0000 0.5000
Cd1 0.2500 0.2500 0.2500
Pb1 0.2500 0.2500 0.7500
# calculated volume = 103.5 Å³/f.u.
# Fermi-level density of states = 0.824 states/eV/atom
# uncorrected energy = -5.335 eV/atom